Density functional theory data (PBE) for a relaxed Ca2TlCd2 crystal.

Output
- Formation enthalpy at 0 K: -0.30 eV per atom
- Density of states at the Fermi level: 5.45 states/eV per cell
- Energy relative to the lowest polymorph listed for this composition: 0.0 meV/atom

a b c (Å): 4.822 6.346 10.667
angles (deg): 91.49 76.94 67.67
Sites, in units of the cell vectors:
Ca 0.680 0.302 0.338
Ca 0.917 0.267 0.898
Ca 0.320 0.698 0.662
Ca 0.083 0.733 0.102
Tl 0.612 0.109 0.667
Tl 0.388 0.891 0.333
Cd 0.065 0.302 0.568
Cd 0.646 0.819 0.888
Cd 0.935 0.698 0.432
Cd 0.354 0.181 0.112

Density functional theory data (PBE) for a relaxed PuZrCoOs crystal.

Output
- Formation enthalpy at 0 K: -0.13 eV per atom
- Density of states at the Fermi level: 6.60 states/eV per cell

a b c (Å): 4.672 4.672 4.672
angles (deg): 60.00 60.00 60.00
Sites, in units of the cell vectors:
Co 0.750 0.750 0.750
Os 0.250 0.250 0.250
Zr 0.500 0.500 0.500
Pu 0.000 0.000 0.000

Density functional theory data (PBE) for a relaxed Mn2ReTc crystal.

Output
- Formation enthalpy at 0 K: 0.12 eV per atom
- Density of states at the Fermi level: 3.23 states/eV per cell

a b c (Å): 4.844 4.844 4.844
angles (deg): 141.80 129.16 65.33
Sites, in units of the cell vectors:
Mn 0.999 0.999 0.000
Mn 0.501 0.501 0.000
Re 0.750 0.250 0.500
Tc 0.250 0.750 0.500

Density functional theory data (PBE) for a relaxed Pa6GeSe3S2 crystal.

Output
- Formation energy from raw total energies: -1.233 eV per atom
- Density of states at the Fermi level: 20.80 states/eV per cell

a b c (Å): 6.850 6.850 7.212
angles (deg): 99.16 99.16 120.49
Sites, in units of the cell vectors:
Pa 0.920 0.574 0.763
Pa 0.728 0.728 0.231
Pa 0.080 0.426 0.237
Pa 0.574 0.920 0.763
Pa 0.272 0.272 0.769
Pa 0.426 0.080 0.237
Ge 0.000 0.000 0.000
Se 0.158 0.842 0.500
Se 0.842 0.158 0.500
Se 0.500 0.500 0.500
S 0.331 0.669 0.000
S 0.669 0.331 0.000

Density functional theory data (PBE) for a relaxed TaAsSeF2 crystal.

Output
- Formation energy from raw total energies: -0.334 eV per atom
- Density of states at the Fermi level: 2.66 states/eV per cell

a b c (Å): 3.954 3.954 6.457
angles (deg): 90.00 90.00 90.00
Sites, in units of the cell vectors:
As 0.000 0.000 0.000
F 0.000 0.500 0.000
F 0.500 0.000 0.000
Se 0.000 0.000 0.500
Ta 0.500 0.500 0.500

Density functional theory data (PBE) for a relaxed GaTeSe crystal.

Output
- Formation energy from raw total energies: -0.333 eV per atom
- Energy relative to the lowest polymorph listed for this composition: 0.0 meV/atom

a b c (Å): 5.934 6.697 9.285
angles (deg): 90.00 90.00 90.00
Sites, in units of the cell vectors:
Ga 0.032 0.029 0.124
Ga 0.532 0.971 0.876
Ga 0.032 0.529 0.876
Ga 0.532 0.471 0.124
Te 0.080 0.812 0.359
Te 0.580 0.188 0.641
Te 0.080 0.312 0.641
Te 0.580 0.688 0.359
Se 0.118 0.394 0.118
Se 0.618 0.606 0.882
Se 0.118 0.894 0.882
Se 0.618 0.106 0.118

Density functional theory data (PBE) for a relaxed DyHoSn crystal.

Output
- Formation enthalpy at 0 K: -0.38 eV per atom
- Density of states at the Fermi level: 5.29 states/eV per cell
- Energy relative to the lowest polymorph listed for this composition: 199.3 meV/atom

a b c (Å): 4.939 5.193 10.223
angles (deg): 123.56 90.00 118.40
Sites, in units of the cell vectors:
Dy 0.067 0.135 0.362
Dy 0.933 0.865 0.638
Ho 0.777 0.553 0.907
Ho 0.223 0.447 0.093
Sn 0.642 0.284 0.227
Sn 0.358 0.716 0.773

Density functional theory data (PBE) for a relaxed CaMgPt3 crystal.

Output
- Formation enthalpy at 0 K: -0.05 eV per atom
- Density of states at the Fermi level: 2.58 states/eV per cell
- Energy relative to the lowest polymorph listed for this composition: 0.0 meV/atom

a b c (Å): 4.714 4.714 4.714
angles (deg): 90.00 90.00 90.00
Sites, in units of the cell vectors:
Ca 0.500 0.500 0.500
Mg 0.000 0.000 0.000
Pt 0.000 0.500 0.000
Pt 0.000 0.000 0.500
Pt 0.500 0.000 0.000